Entry from Alexandria via LeMat-Bulk: crystalline NaTb2Tm3Te6 at its relaxed geometry (GGA-PBE).

The calculation puts the density of states at the Fermi level at 3.98 states/eV/f.u. As for the space group: C2/m. The total energy comes out at -58.03 eV/cell. The value obtained for the theoretical density is 7.63 g/cm3. The calculation puts the total magnetization at 0.00 μB per formula unit.

Cell lengths 4.3254, 8.7746, 9.7727 Å; angles 103.42, 102.79, 90.00 degrees
Element x y z (fractional)
Te: 0.3308 0.9185 0.6616
Te: 0.0011 0.2550 0.0022
Te: 0.6692 0.0815 0.3384
Te: 0.6631 0.5887 0.3262
Te: 0.3369 0.4113 0.6738
Te: 0.9989 0.7450 0.9978
Tm: 0.1652 0.8272 0.3303
Tm: 0.8348 0.1728 0.6697
Tm: 0.5000 0.5000 0.0000
Na: 0.5000 0.0000 0.0000
Tb: 0.1715 0.3465 0.3431
Tb: 0.8285 0.6535 0.6569